## CoIrO3 (PBE with a Hubbard U)

Data for CoIrO3 after structural relaxation.

Cell: 5.056 5.056 5.284 Å, 90.00 90.00 120.00°
Fractional positions:
Co: 0.000 0.000 0.000
Co: 0.000 0.000 0.500
Ir: 0.667 0.333 0.000
Ir: 0.667 0.333 0.500
O: 0.353 0.026 0.250
O: 0.353 0.327 0.750
O: 0.673 0.026 0.750
O: 0.673 0.647 0.250
O: 0.974 0.327 0.250
O: 0.974 0.647 0.750

Results
Its calculated density is 8.49 g cm⁻³. The volume comes out at 11.7 Å³/atom. As for the symmetry: P-6c2 (188). The total energy comes out at -0.22996 hartree per atom.